Below is crystalline Sc2TaRu at its relaxed geometry, with properties calculated at the PBE level.

POSCAR file:
```
Sc2TaRu
1.0
3.163 0.000 0.000
0.000 3.163 0.000
0.000 0.000 7.392
Ru Sc Ta
1 2 1
Cartesian
1.581 1.581 5.544
0.000 0.000 7.129
0.000 0.000 3.958
1.581 1.581 1.848
```

Its density of states at the Fermi level is 3.5 states/eV per cell. Its space-group type is No. 123. Its formation energy is -3.84 kcal/mol of atoms. The value obtained for the polymorph energy (0 for the lowest one) is 94 meV per atom.